(1)
! TbNpPa (GGA-PBE, relaxed); values from VASP
&SYSTEM
  ibrav = 0, nat = 3, ntyp = 3
/
ATOMIC_SPECIES
Pa 231.04 Pa.upf
Np 237.00 Np.upf
Tb 158.93 Tb.upf
CELL_PARAMETERS angstrom
0.0000 3.5241 3.5241
3.5241 0.0000 3.5241
3.5241 3.5241 0.0000
ATOMIC_POSITIONS crystal
Pa 0.0000 0.0000 0.0000
Np 0.2500 0.2500 0.2500
Tb 0.7500 0.7500 0.7500
! **Formation energy**: 1.087 eV/atom
! **Final energy**: -7.88 eV per atom

***

(2)
! HoAlO3 (GGA-PBE, relaxed); values from VASP
&SYSTEM
  ibrav = 0, nat = 20, ntyp = 3
/
ATOMIC_SPECIES
O 16.00 O.upf
Ho 164.93 Ho.upf
Al 26.98 Al.upf
CELL_PARAMETERS angstrom
5.1485 0.0000 0.0000
0.0000 5.3450 0.0000
0.0000 0.0000 7.3602
ATOMIC_POSITIONS crystal
O 0.9108 0.5241 0.7500
O 0.7967 0.7966 0.4531
O 0.7967 0.7966 0.0469
O 0.7033 0.2966 0.4531
O 0.4108 0.9759 0.2500
O 0.0892 0.4759 0.2500
O 0.5892 0.0241 0.7500
O 0.2967 0.7034 0.9531
O 0.2033 0.2034 0.9531
O 0.7033 0.2966 0.0469
O 0.2967 0.7034 0.5469
O 0.2033 0.2034 0.5469
Ho 0.9858 0.0590 0.2500
Ho 0.0142 0.9410 0.7500
Ho 0.4858 0.4410 0.7500
Ho 0.5142 0.5590 0.2500
Al 0.5000 0.0000 0.5000
Al 0.0000 0.5000 0.0000
Al 0.5000 0.0000 0.0000
Al 0.0000 0.5000 0.5000
! **Final energy**: -7.97 eV per atom

***

(3)
! Ga31Mo6 (GGA-PBE, relaxed); values from VASP
&SYSTEM
  ibrav = 0, nat = 74, ntyp = 2
/
ATOMIC_SPECIES
Ga 69.72 Ga.upf
Mo 95.94 Mo.upf
CELL_PARAMETERS angstrom
9.5533 0.0000 0.0000
0.8025 9.5393 0.0000
2.3155 0.4607 14.4086
ATOMIC_POSITIONS crystal
Ga 0.4347 0.6984 0.4807
Ga 0.3031 0.4538 0.5441
Ga 0.4694 0.9300 0.3276
Ga 0.8801 0.2692 0.9618
Ga 0.3716 0.6014 0.1750
Ga 0.6680 0.7972 0.5971
Ga 0.5205 0.1784 0.2157
Ga 0.8472 0.1667 0.7873
Ga 0.2689 0.0740 0.9164
Ga 0.3958 0.3278 0.7352
Ga 0.5000 0.0000 0.5000
Ga 0.7619 0.6583 0.7574
Ga 0.6284 0.3986 0.8250
Ga 0.0786 0.2142 0.5356
Ga 0.5650 0.1058 0.8533
Ga 0.7629 0.9816 0.2627
Ga 0.2381 0.3417 0.2426
Ga 0.3320 0.2028 0.4029
Ga 0.6595 0.4326 0.1476
Ga 0.3127 0.1605 0.0832
Ga 0.4350 0.8942 0.1467
Ga 0.9606 0.8502 0.6366
Ga 0.7311 0.9260 0.0836
Ga 0.2176 0.9512 0.5636
Ga 0.5653 0.3016 0.5193
Ga 0.6042 0.6722 0.2648
Ga 0.1814 0.8892 0.3915
Ga 0.9534 0.3719 0.1416
Ga 0.8186 0.1108 0.6085
Ga 0.9214 0.7858 0.4644
Ga 0.0417 0.5649 0.6738
Ga 0.7302 0.2771 0.3096
Ga 0.0387 0.0901 0.1747
Ga 0.5306 0.0700 0.6724
Ga 0.0000 0.0000 0.0000
Ga 0.4795 0.8216 0.7843
Ga 0.8605 0.6556 0.1184
Ga 0.5280 0.5649 0.6682
Ga 0.7835 0.5607 0.9502
Ga 0.5000 0.5000 0.0000
Ga 0.6873 0.8395 0.9168
Ga 0.9613 0.9099 0.8253
Ga 0.0394 0.1498 0.3634
Ga 0.1528 0.8333 0.2127
Ga 0.8925 0.7210 0.2926
Ga 0.3405 0.5674 0.8524
Ga 0.7896 0.4038 0.6469
Ga 0.6969 0.5462 0.4559
Ga 0.2104 0.5962 0.3531
Ga 0.2698 0.7229 0.6904
Ga 0.5974 0.2099 0.0209
Ga 0.9583 0.4351 0.3262
Ga 0.1199 0.7308 0.0382
Ga 0.0466 0.6281 0.8584
Ga 0.2371 0.0184 0.7373
Ga 0.4026 0.7901 0.9791
Ga 0.7824 0.0488 0.4364
Ga 0.1395 0.3444 0.8816
Ga 0.4720 0.4351 0.3318
Ga 0.0000 0.5000 0.5000
Ga 0.1075 0.2790 0.7074
Ga 0.2165 0.4393 0.0498
Mo 0.3290 0.1851 0.5914
Mo 0.7298 0.9365 0.7452
Mo 0.1576 0.6973 0.5279
Mo 0.9075 0.4257 0.8086
Mo 0.0925 0.5743 0.1914
Mo 0.7927 0.1705 0.1271
Mo 0.6710 0.8149 0.4086
Mo 0.2702 0.0635 0.2548
Mo 0.6057 0.6941 0.0729
Mo 0.2073 0.8295 0.8729
Mo 0.8424 0.3027 0.4721
Mo 0.3943 0.3059 0.9271
! **Final energy**: -4.43 eV per atom

***

(4)
! Li4AlGeAu2 (GGA-PBE, relaxed); values from VASP
&SYSTEM
  ibrav = 0, nat = 8, ntyp = 4
/
ATOMIC_SPECIES
Al 26.98 Al.upf
Au 196.97 Au.upf
Li 6.94 Li.upf
Ge 72.64 Ge.upf
CELL_PARAMETERS angstrom
4.3816 0.0000 0.0000
0.0000 4.3816 0.0000
0.0000 0.0000 6.2269
ATOMIC_POSITIONS crystal
Al 0.0000 0.0000 0.0000
Au 0.0000 0.5000 0.7596
Au 0.5000 0.0000 0.2404
Li 0.5000 0.0000 0.7425
Li 0.0000 0.0000 0.5000
Li 0.5000 0.5000 0.0000
Li 0.0000 0.5000 0.2575
Ge 0.5000 0.5000 0.5000
! **Final energy**: -3.32 eV per atom